Density functional theory data (PBE+U) for crystalline ErMn2SnO6 at its relaxed geometry.

Cell: 5.3843 5.3780 5.7805 Å, 62.30 62.07 59.92°
Last column: nearest neighbours and their distance in Å.
Fractional positions:
Sn: 0.3199 0.3180 0.0428  6 O 2.08-2.13
Er: 0.8037 0.8046 0.5882  6 O 2.20-2.34
O: 0.3739 0.7334 0.7647  1 Mn 2.01, 1 Sn 2.13, 1 Er 2.20
O: 0.1259 0.3741 0.7658  1 Mn 2.00, 1 Sn 2.13, 1 Er 2.20
O: 0.7351 0.1282 0.7635  1 Mn 2.01, 1 Sn 2.12, 1 Er 2.20
O: 0.9320 0.6205 0.2350  2 Mn 2.05-2.12, 1 Sn 2.08
O: 0.2133 0.9315 0.2350  2 Mn 2.05-2.12, 1 Sn 2.08
O: 0.6214 0.2108 0.2347  2 Mn 2.02-2.13, 1 Sn 2.09
Mn: 0.5289 0.5299 0.4126  5 O 2.12-2.38
Mn: 0.0076 0.0105 0.9730  6 O 2.00-2.05

Electronic total energy = -7.329 eV per atom
Spin magnetization = 0.7001 μB per atom